# 1
DFT (PBE) results for a relaxed structure of SrLi4Ca6.

Computed properties:
Calculated volume in A^3/atom: 35.816
SG: P1, No. 1
VASP energy in eV/atom: -1.892
D(E_F) in states/eV per atom: 0.8311

Lattice parameters (Å, degrees): 6.7178 6.7187 10.5053 99.53 99.47 118.59
With the nearest neighbours (Å) after each atom.
Fractional coordinates of all 11 atoms:
Sr (0.0000, 0.0000, 0.0000)  6 Li 3.56-3.94, 3 Ca 3.88-3.94
Li (0.1012, 0.1075, 0.6897)  5 Ca 3.25-3.35, 2 Li 3.29-3.57, 1 Sr 3.56
Li (0.1039, 0.6011, 0.2053)  5 Ca 3.35-3.70, 2 Li 3.43
Li (0.5811, 0.5874, 0.6892)  5 Ca 3.24-3.35, 2 Li 3.29-3.57, 1 Sr 3.57
Li (0.6040, 0.1015, 0.2052)  6 Ca 3.35-3.75, 2 Li 3.43
Ca (0.1972, 0.1986, 0.3962)  2 Li 3.35
Ca (0.2646, 0.6226, 0.8863)  2 Li 3.26-3.27
Ca (0.5726, 0.9484, 0.5214)  2 Li 3.24-3.25
Ca (0.6079, 0.6033, 0.2111)  4 Li 3.35-3.37
Ca (0.6200, 0.2613, 0.8803)  2 Li 3.28-3.29
Ca (0.9508, 0.5763, 0.5277)  2 Li 3.25-3.26

***

# 2
DFT (PBE) results for a relaxed structure of SnHPd2.

Computed properties:
Calculated volume in A^3/atom: 14.289
Excess energy over the best structure of this formula in the dataset in eV/atom: 0.0386
SG: I-42d, No. 122
VASP energy in eV/atom: -4.723
D(E_F) in states/eV per atom: 0.2119

Lattice parameters (Å, degrees): 5.2998 5.2998 5.2998 107.87 107.87 112.71
With the nearest neighbours (Å) after each atom.
Fractional coordinates of all 8 atoms:
Sn (0.0000, 0.0000, 0.0000)  8 Pd 2.82-2.87, 2 H 2.94
Sn (0.7500, 0.2500, 0.5000)  8 Pd 2.82-2.87, 2 H 2.94
H (0.2500, 0.7500, 0.5000)  4 Pd 1.91
H (0.5000, 0.5000, 0.0000)  4 Pd 1.91
Pd (0.2436, 0.6250, 0.1186)  2 H 1.91
Pd (0.3750, 0.4936, 0.6186)  2 H 1.91
Pd (0.5064, 0.1250, 0.8814)  2 H 1.91
Pd (0.8750, 0.7564, 0.3814)  2 H 1.91

***

# 3
DFT (PBE) results for a relaxed structure of Cu2BPt5.

Computed properties:
Calculated volume in A^3/atom: 13.800
SG: Pbam, No. 55
VASP energy in eV/atom: -5.718
D(E_F) in states/eV per atom: 0.6299

Lattice parameters (Å, degrees): 5.6275 9.8742 3.9737 90.00 90.00 90.00
With the nearest neighbours (Å) after each atom.
Fractional coordinates of all 16 atoms:
Cu (0.1308, 0.1562, 0.0000)  9 Pt 2.56-2.72
Cu (0.3692, 0.6562, 0.0000)  9 Pt 2.56-2.72
Cu (0.6308, 0.3438, 0.0000)  9 Pt 2.56-2.72
Cu (0.8692, 0.8438, 0.0000)  9 Pt 2.56-2.72
B (0.0000, 0.5000, 0.5000)  2 Pt 2.11
B (0.5000, 0.0000, 0.5000)  2 Pt 2.11
Pt (0.0000, 0.0000, 0.5000)  4 Cu 2.62, 4 Pt 2.79, 2 B 2.81
Pt (0.0933, 0.7066, 0.5000)  1 B 2.11
Pt (0.1857, 0.4136, 0.0000)  2 B 2.40, 3 Cu 2.56-2.61
Pt (0.3143, 0.9136, 0.0000)  2 B 2.40, 3 Cu 2.56-2.61
Pt (0.4067, 0.2066, 0.5000)  1 B 2.11
Pt (0.5000, 0.5000, 0.5000)  4 Cu 2.62, 4 Pt 2.79, 2 B 2.81
Pt (0.5933, 0.7934, 0.5000)  1 B 2.11
Pt (0.6857, 0.0864, 0.0000)  2 B 2.40, 3 Cu 2.56-2.61
Pt (0.8143, 0.5864, 0.0000)  2 B 2.40, 3 Cu 2.56-2.61
Pt (0.9067, 0.2934, 0.5000)  1 B 2.11

***

# 4
DFT (PBE) results for a relaxed structure of RbSnHg.

Computed properties:
Calculated volume in A^3/atom: 38.364
Excess energy over the best structure of this formula in the dataset in eV/atom: 0.0124
SG: Pnma, No. 62
VASP energy in eV/atom: -1.919
D(E_F) in states/eV per atom: 0.5047

Lattice parameters (Å, degrees): 13.1903 4.6674 7.4778 90.00 90.00 90.00
With the nearest neighbours (Å) after each atom.
Fractional coordinates of all 12 atoms:
Rb (0.2148, 0.2500, 0.1336)  4 Hg 3.55-3.63, 2 Sn 3.92
Rb (0.2852, 0.7500, 0.6336)  4 Hg 3.55-3.63, 2 Sn 3.92
Rb (0.7148, 0.2500, 0.3664)  4 Hg 3.55-3.63, 2 Sn 3.92
Rb (0.7852, 0.7500, 0.8664)  4 Hg 3.55-3.63, 2 Sn 3.92
Sn (0.0475, 0.2500, 0.5861)  2 Sn 2.94, 2 Hg 3.24
Sn (0.4525, 0.7500, 0.0861)  2 Sn 2.94, 2 Hg 3.24
Sn (0.5475, 0.2500, 0.9139)  2 Sn 2.94, 2 Hg 3.24
Sn (0.9525, 0.7500, 0.4139)  2 Sn 2.94, 2 Hg 3.24
Hg (0.0572, 0.7500, 0.8870)  2 Sn 3.24, 2 Hg 3.25, 4 Rb 3.55-3.63
Hg (0.4428, 0.2500, 0.3870)  2 Sn 3.24, 2 Hg 3.25, 4 Rb 3.55-3.63
Hg (0.5572, 0.7500, 0.6130)  2 Sn 3.24, 2 Hg 3.25, 4 Rb 3.55-3.63
Hg (0.9428, 0.2500, 0.1130)  2 Sn 3.24, 2 Hg 3.25, 4 Rb 3.55-3.63

***

# 5
DFT (PBE) results for a relaxed structure of K2YFe.

Computed properties:
Calculated volume in A^3/atom: 32.384
Excess energy over the best structure of this formula in the dataset in eV/atom: 1.0809
SG: Fm-3m, No. 225
VASP energy in eV/atom: -2.698
D(E_F) in states/eV per atom: 3.5291

Lattice parameters (Å, degrees): 5.6794 5.6794 5.6794 60.00 60.00 60.00
With the nearest neighbours (Å) after each atom.
Fractional coordinates of all 4 atoms:
K (0.2500, 0.2500, 0.2500)  4 Fe 3.48, 4 Y 3.48
K (0.7500, 0.7500, 0.7500)  4 Y 3.48, 4 Fe 3.48
Y (0.0000, 0.0000, 0.0000)  8 K 3.48
Fe (0.5000, 0.5000, 0.5000)  8 K 3.48

***

# 6
DFT (PBE) results for a relaxed structure of Li4Cu3Ni.

Computed properties:
Calculated volume in A^3/atom: 12.808
SG: P-1, No. 2
VASP energy in eV/atom: -3.201
D(E_F) in states/eV per atom: 0.4144

Lattice parameters (Å, degrees): 2.5936 4.5554 9.0381 75.78 82.08 89.93
With the nearest neighbours (Å) after each atom.
Fractional coordinates of all 8 atoms:
Li (0.1133, 0.2839, 0.2665)  5 Cu 2.52-2.65, 2 Ni 2.52-2.53, 3 Li 2.59-2.74
Li (0.2444, 0.7579, 0.0098)  7 Li 2.52-2.74, 3 Cu 2.63-2.76
Li (0.7556, 0.2421, 0.9902)  7 Li 2.52-2.74, 3 Cu 2.63-2.76
Li (0.8867, 0.7161, 0.7335)  5 Cu 2.52-2.65, 2 Ni 2.52-2.53, 3 Li 2.59-2.74
Cu (0.0000, 0.5000, 0.5000)  2 Li 2.52, 6 Cu 2.56-2.59, 4 Ni 2.62
Cu (0.3823, 0.2072, 0.7383)  1 Ni 2.54, 4 Cu 2.56-2.59, 7 Li 2.59-2.76
Cu (0.6177, 0.7928, 0.2617)  1 Ni 2.54, 4 Cu 2.56-2.59, 7 Li 2.59-2.76
Ni (0.5000, 0.0000, 0.5000)  4 Li 2.52-2.53, 6 Cu 2.54-2.62, 2 Ni 2.59

***

# 7
DFT (PBE) results for a relaxed structure of Y2TaPb.

Computed properties:
Calculated volume in A^3/atom: 25.330
SG: Cmmm, No. 65
VASP energy in eV/atom: -7.008
D(E_F) in states/eV per atom: 1.1102

Lattice parameters (Å, degrees): 5.6946 5.6946 3.2727 90.00 90.00 107.32
With the nearest neighbours (Å) after each atom.
Fractional coordinates of all 4 atoms:
Y (0.0000, 0.5000, 0.0000)  4 Y 3.27-3.37, 4 Ta 3.28, 4 Pb 3.28
Y (0.5000, 0.0000, 0.0000)  4 Y 3.27-3.37, 4 Ta 3.28, 4 Pb 3.28
Ta (0.0000, 0.0000, 0.5000)  2 Ta 3.27, 8 Y 3.28, 2 Pb 3.37
Pb (0.5000, 0.5000, 0.5000)  2 Pb 3.27, 8 Y 3.28, 2 Ta 3.37

***

# 8
DFT (PBE) results for a relaxed structure of CsKNa.

Computed properties:
Calculated volume in A^3/atom: 79.560
Excess energy over the best structure of this formula in the dataset in eV/atom: 0.0391
SG: P1, No. 1
VASP energy in eV/atom: -1.037
D(E_F) in states/eV per atom: 0.7368

Lattice parameters (Å, degrees): 5.6888 5.7527 16.4219 96.80 94.62 115.28
With the nearest neighbours (Å) after each atom.
Fractional coordinates of all 6 atoms:
Cs (0.0000, 0.0000, 0.0000)  3 K 4.91-5.08, 2 Cs 5.30
Cs (0.3394, 0.3915, 0.7326)  6 Na 4.39-4.65
K (0.1837, 0.2105, 0.4001)  6 Na 3.94-4.21, 2 K 4.36-4.37
K (0.4662, 0.7471, 0.2248)  3 K 4.36-4.53
Na (0.5799, 0.9603, 0.5450)  3 Na 3.31-3.43
Na (0.9195, 0.6155, 0.5439)  3 Na 3.31-3.43